Record 1
# CaAcIn4

A relaxed structure of CaAcIn4 (PBE, Alexandria).

The structure in CIF format:
```
data_CaAcIn4
_chemical_formula_sum 'Ca1 Ac1 In4'
_symmetry_space_group_name_H-M 'P 1'
_symmetry_Int_Tables_number 1
_symmetry_space_group_name_Hall 'P 1'
_cell_length_a 4.941
_cell_length_b 6.520
_cell_length_c 6.520
_cell_angle_alpha 73.29
_cell_angle_beta 67.73
_cell_angle_gamma 67.73
loop_
_atom_site_label
_atom_site_type_symbol
_atom_site_fract_x
_atom_site_fract_y
_atom_site_fract_z
Ca1 Ca 0.557 0.443 0.443
Ac1 Ac 0.452 0.048 0.048
In1 In 0.159 0.634 0.049
In2 In 0.837 0.857 0.469
In3 In 0.837 0.469 0.857
In4 In 0.159 0.049 0.634
```

Results
**Raw total energy**: -3.272 eV per atom
**Formation enthalpy at 0 K**: -428.3 meV/atom
**Energy above the most stable polymorph in this dataset**: 0.000 eV/atom
**Mass density**: 6802 kg/m3

Record 2
# Ce2PmTmS4

A relaxed structure of Ce2PmTmS4 (PBE, Alexandria).

The structure in CIF format:
```
data_Ce2PmTmS4
_chemical_formula_sum 'Ce2 Pm1 Tm1 S4'
_symmetry_space_group_name_H-M 'P 1'
_symmetry_Int_Tables_number 1
_symmetry_space_group_name_Hall 'P 1'
_cell_length_a 3.963
_cell_length_b 6.893
_cell_length_c 6.935
_cell_angle_alpha 109.20
_cell_angle_beta 90.00
_cell_angle_gamma 90.00
loop_
_atom_site_label
_atom_site_type_symbol
_atom_site_fract_x
_atom_site_fract_y
_atom_site_fract_z
Ce1 Ce 0.500 0.000 0.500
Ce2 Ce 0.000 0.500 0.500
Pm1 Pm 0.500 0.500 0.000
Tm1 Tm 0.000 0.000 0.000
S1 S 0.500 0.237 0.238
S2 S 0.500 0.763 0.762
S3 S 0.000 0.243 0.756
S4 S 0.000 0.757 0.244
```

Results
**Formation energy (no corrections)**: -2.017 eV/atom
**Raw total energy**: -6.717 eV per atom
**Mass density**: 6705 kg/m3

Record 3
# Tm7Sn4C

A relaxed structure of Tm7Sn4C (PBE, Alexandria).

The structure in CIF format:
```
data_Tm7Sn4C
_chemical_formula_sum 'Tm7 Sn4 C1'
_symmetry_space_group_name_H-M 'P 1'
_symmetry_Int_Tables_number 1
_symmetry_space_group_name_Hall 'P 1'
_cell_length_a 4.945
_cell_length_b 9.061
_cell_length_c 8.300
_cell_angle_alpha 79.21
_cell_angle_beta 72.67
_cell_angle_gamma 74.16
loop_
_atom_site_label
_atom_site_type_symbol
_atom_site_fract_x
_atom_site_fract_y
_atom_site_fract_z
Tm1 Tm 0.775 0.863 0.588
Tm2 Tm 0.225 0.137 0.412
Tm3 Tm 0.062 0.753 0.122
Tm4 Tm 0.938 0.247 0.878
Tm5 Tm 0.364 0.548 0.724
Tm6 Tm 0.500 0.000 0.000
Tm7 Tm 0.636 0.452 0.276
Sn1 Sn 0.584 0.217 0.614
Sn2 Sn 0.416 0.783 0.386
Sn3 Sn 0.722 0.647 0.908
Sn4 Sn 0.278 0.353 0.092
C1 C 0.000 0.000 0.000
```

Results
**Raw total energy**: -5.061 eV per atom
**Formation enthalpy at 0 K**: -349.5 meV/atom
**Mass density**: 8171 kg/m3

Record 4
# K2CdPAu

A relaxed structure of K2CdPAu (PBE, Alexandria).

The structure in CIF format:
```
data_K2CdPAu
_chemical_formula_sum 'K2 Cd1 P1 Au1'
_symmetry_space_group_name_H-M 'P 1'
_symmetry_Int_Tables_number 1
_symmetry_space_group_name_Hall 'P 1'
_cell_length_a 6.361
_cell_length_b 6.361
_cell_length_c 4.599
_cell_angle_alpha 90.00
_cell_angle_beta 90.00
_cell_angle_gamma 90.00
loop_
_atom_site_label
_atom_site_type_symbol
_atom_site_fract_x
_atom_site_fract_y
_atom_site_fract_z
P1 P 0.000 0.000 0.000
K1 K 0.000 0.500 0.000
K2 K 0.500 0.000 0.000
Au1 Au 0.000 0.000 0.500
Cd1 Cd 0.500 0.500 0.500
```

Results
**Raw total energy**: -2.512 eV per atom
**Formation enthalpy at 0 K**: -152.8 meV/atom
**Mass density**: 3735 kg/m3

Record 5
# ZrTa2Rh

A relaxed structure of ZrTa2Rh (PBE, Alexandria).

The structure in CIF format:
```
data_ZrTa2Rh
_chemical_formula_sum 'Zr1 Ta2 Rh1'
_symmetry_space_group_name_H-M 'P 1'
_symmetry_Int_Tables_number 1
_symmetry_space_group_name_Hall 'P 1'
_cell_length_a 9.349
_cell_length_b 9.349
_cell_length_c 9.349
_cell_angle_alpha 18.79
_cell_angle_beta 18.79
_cell_angle_gamma 18.79
loop_
_atom_site_label
_atom_site_type_symbol
_atom_site_fract_x
_atom_site_fract_y
_atom_site_fract_z
Rh1 Rh 0.750 0.750 0.750
Ta1 Ta 0.006 0.006 0.006
Ta2 Ta 0.494 0.494 0.494
Zr1 Zr 0.250 0.250 0.250
```

Results
**Raw total energy**: -9.910 eV per atom
**Formation enthalpy at 0 K**: -8.5 meV/atom
**Mass density**: 12456 kg/m3

Record 6
# InBi3Pb6

A relaxed structure of InBi3Pb6 (PBE, Alexandria).

The structure in CIF format:
```
data_InBi3Pb6
_chemical_formula_sum 'In2 Bi6 Pb12'
_symmetry_space_group_name_H-M 'P 1'
_symmetry_Int_Tables_number 1
_symmetry_space_group_name_Hall 'P 1'
_cell_length_a 4.950
_cell_length_b 11.369
_cell_length_c 11.184
_cell_angle_alpha 89.50
_cell_angle_beta 90.00
_cell_angle_gamma 90.00
loop_
_atom_site_label
_atom_site_type_symbol
_atom_site_fract_x
_atom_site_fract_y
_atom_site_fract_z
In1 In 0.250 0.952 0.595
In2 In 0.750 0.048 0.405
Bi1 Bi 0.250 0.553 0.393
Bi2 Bi 0.750 0.447 0.607
Bi3 Bi 0.250 0.347 0.797
Bi4 Bi 0.750 0.653 0.203
Bi5 Bi 0.250 0.753 0.991
Bi6 Bi 0.750 0.247 0.009
Pb1 Pb 0.250 0.445 0.096
Pb2 Pb 0.750 0.555 0.904
Pb3 Pb 0.250 0.147 0.205
Pb4 Pb 0.750 0.853 0.795
Pb5 Pb 0.250 0.652 0.689
Pb6 Pb 0.750 0.348 0.311
Pb7 Pb 0.250 0.241 0.500
Pb8 Pb 0.750 0.759 0.500
Pb9 Pb 0.250 0.855 0.299
Pb10 Pb 0.750 0.145 0.701
Pb11 Pb 0.250 0.048 0.897
Pb12 Pb 0.750 0.952 0.103
```

Results
**Raw total energy**: -3.630 eV per atom
**Formation enthalpy at 0 K**: 33.2 meV/atom
**Energy above the most stable polymorph in this dataset**: 0.008 eV/atom
**Mass density**: 10475 kg/m3

Record 7
# Tl2IrW

A relaxed structure of Tl2IrW (PBE, Alexandria).

The structure in CIF format:
```
data_Tl2IrW
_chemical_formula_sum 'Tl2 Ir1 W1'
_symmetry_space_group_name_H-M 'P 1'
_symmetry_Int_Tables_number 1
_symmetry_space_group_name_Hall 'P 1'
_cell_length_a 3.091
_cell_length_b 2.995
_cell_length_c 9.109
_cell_angle_alpha 80.53
_cell_angle_beta 90.00
_cell_angle_gamma 90.00
loop_
_atom_site_label
_atom_site_type_symbol
_atom_site_fract_x
_atom_site_fract_y
_atom_site_fract_z
Ir1 Ir 0.500 0.833 0.709
Tl1 Tl 0.000 0.203 0.962
Tl2 Tl 0.500 0.046 0.289
W1 W 0.000 0.418 0.540
```

Results
**Raw total energy**: -6.264 eV per atom
**Formation enthalpy at 0 K**: 373.1 meV/atom
**Energy above the most stable polymorph in this dataset**: 0.000 eV/atom
**Mass density**: 15673 kg/m3

no.,M_tot (μB per atom)
1,0.0000
2,0.1981
3,0.0000
4,0.0000
5,0.0000
6,0.0000
7,0.0000